The following is a DFT calculation (GGA-PBE) of an optimized crystal structure of TmZn2Ni4Ge.

Fermi-level density of states = 2.8 states/eV per cell
E = -37.19 eV per formula unit
formation energy = -0.303 eV per atom
space-group type = R-3m, No. 166

Cell: 4.261 4.261 7.444 Å, 73.37 73.37 60.00°
Fractional positions:
Ni: 0.133 0.133 0.602
Ni: 0.390 0.390 0.830
Ni: 0.610 0.610 0.170
Ni: 0.867 0.867 0.398
Zn: 0.747 0.747 0.760
Zn: 0.253 0.253 0.240
Tm: 0.000 0.000 0.000
Ge: 0.500 0.500 0.500